(1)
# Cs2HfCd PBE relaxed
# Raw total energy ... -1.9591 eV/atom
data_Cs2HfCd
_chemical_formula_sum 'Cs8 Hf4 Cd4'
_space_group_name_H-M_alt 'F m -3 m'
_space_group_IT_number 225
_space_group_name_Hall '-F 4 2 3'
_cell_length_a 8.867
_cell_length_b 8.867
_cell_length_c 8.867
_cell_angle_alpha 90.00
_cell_angle_beta 90.00
_cell_angle_gamma 90.00
loop_
_atom_site_label
_atom_site_fract_x
_atom_site_fract_y
_atom_site_fract_z
Cs1 0.250 0.250 0.250
Hf1 0.000 0.000 0.000
Cd1 0.000 0.000 0.500


(2)
# CsHfCd3 PBE relaxed
# Raw total energy ... -2.2173 eV/atom
data_CsHfCd3
_chemical_formula_sum 'Cs1 Hf1 Cd3'
_space_group_name_H-M_alt 'P m -3 m'
_space_group_IT_number 221
_space_group_name_Hall '-P 4 2 3'
_cell_length_a 5.810
_cell_length_b 5.810
_cell_length_c 5.810
_cell_angle_alpha 90.00
_cell_angle_beta 90.00
_cell_angle_gamma 90.00
loop_
_atom_site_label
_atom_site_fract_x
_atom_site_fract_y
_atom_site_fract_z
Cs1 0.000 0.000 0.000
Hf1 0.500 0.500 0.500
Cd1 0.000 0.500 0.500


(3)
# CsHf2Cd PBE relaxed
# Raw total energy ... -4.2715 eV/atom
data_CsHf2Cd
_chemical_formula_sum 'Cs4 Hf8 Cd4'
_space_group_name_H-M_alt 'I -4 2 d'
_space_group_IT_number 122
_space_group_name_Hall 'I -4 2bw'
_cell_length_a 4.487
_cell_length_b 4.487
_cell_length_c 23.095
_cell_angle_alpha 90.00
_cell_angle_beta 90.00
_cell_angle_gamma 90.00
loop_
_atom_site_label
_atom_site_fract_x
_atom_site_fract_y
_atom_site_fract_z
Cs1 0.000 0.000 0.000
Hf1 0.225 0.250 0.625
Cd1 0.000 0.000 0.500


(4)
# CsHf2Cd2 PBE relaxed
# Raw total energy ... -3.9547 eV/atom
# Energy relative to the lowest polymorph listed for this composition ... 73.8 meV/atom
data_CsHf2Cd2
_chemical_formula_sum 'Cs2 Hf4 Cd4'
_space_group_name_H-M_alt 'P 4/m b m'
_space_group_IT_number 127
_space_group_name_Hall '-P 4 2ab'
_cell_length_a 9.516
_cell_length_b 9.516
_cell_length_c 3.120
_cell_angle_alpha 90.00
_cell_angle_beta 90.00
_cell_angle_gamma 90.00
loop_
_atom_site_label
_atom_site_fract_x
_atom_site_fract_y
_atom_site_fract_z
Cs1 0.000 0.000 0.000
Hf1 0.114 0.386 0.500
Cd1 0.172 0.672 0.000


(5)
# CsHfCd2 PBE relaxed
# Raw total energy ... -2.4024 eV/atom
data_CsHfCd2
_chemical_formula_sum 'Cs4 Hf4 Cd8'
_space_group_name_H-M_alt 'F m -3 m'
_space_group_IT_number 225
_space_group_name_Hall '-F 4 2 3'
_cell_length_a 7.893
_cell_length_b 7.893
_cell_length_c 7.893
_cell_angle_alpha 90.00
_cell_angle_beta 90.00
_cell_angle_gamma 90.00
loop_
_atom_site_label
_atom_site_fract_x
_atom_site_fract_y
_atom_site_fract_z
Cs1 0.000 0.000 0.000
Hf1 0.000 0.000 0.500
Cd1 0.250 0.250 0.250


(6)
# CsHf3Cd PBE relaxed
# Raw total energy ... -4.1046 eV/atom
# Energy relative to the lowest polymorph listed for this composition ... 708.0 meV/atom
data_CsHf3Cd
_chemical_formula_sum 'Cs1 Hf3 Cd1'
_space_group_name_H-M_alt 'P m -3 m'
_space_group_IT_number 221
_space_group_name_Hall '-P 4 2 3'
_cell_length_a 5.254
_cell_length_b 5.254
_cell_length_c 5.254
_cell_angle_alpha 90.00
_cell_angle_beta 90.00
_cell_angle_gamma 90.00
loop_
_atom_site_label
_atom_site_fract_x
_atom_site_fract_y
_atom_site_fract_z
Cs1 0.000 0.000 0.000
Hf1 0.000 0.000 0.500
Cd1 0.500 0.500 0.500


(7)
# CsHf3Cd PBE relaxed
# Raw total energy ... -4.8126 eV/atom
# Energy relative to the lowest polymorph listed for this composition ... 0.0 meV/atom
data_CsHf3Cd
_chemical_formula_sum 'Cs1 Hf3 Cd1'
_space_group_name_H-M_alt 'P m -3 m'
_space_group_IT_number 221
_space_group_name_Hall '-P 4 2 3'
_cell_length_a 5.415
_cell_length_b 5.415
_cell_length_c 5.415
_cell_angle_alpha 90.00
_cell_angle_beta 90.00
_cell_angle_gamma 90.00
loop_
_atom_site_label
_atom_site_fract_x
_atom_site_fract_y
_atom_site_fract_z
Cs1 0.000 0.000 0.000
Hf1 0.000 0.500 0.500
Cd1 0.500 0.500 0.500


(8)
# CsHf2Cd2 PBE relaxed
# Raw total energy ... -4.0285 eV/atom
# Energy relative to the lowest polymorph listed for this composition ... 0.0 meV/atom
data_CsHf2Cd2
_chemical_formula_sum 'Cs2 Hf4 Cd4'
_space_group_name_H-M_alt 'I 4/m m m'
_space_group_IT_number 139
_space_group_name_Hall '-I 4 2'
_cell_length_a 4.167
_cell_length_b 4.167
_cell_length_c 19.242
_cell_angle_alpha 90.00
_cell_angle_beta 90.00
_cell_angle_gamma 90.00
loop_
_atom_site_label
_atom_site_fract_x
_atom_site_fract_y
_atom_site_fract_z
Cs1 0.000 0.000 0.000
Hf1 0.000 0.500 0.250
Cd1 0.000 0.000 0.366


Formation energy from the elements / meV per atom: 1184.9 493.1 1147.3 563.4 756.9 2221.2 1513.2 489.6
Fermi-level density of states / states/eV per cell: 36.63 10.38 21.69 14.61 11.47 7.96 5.74 17.04